Record 1
Here is a geometry-optimized ZnTeCl6 structure from the Alexandria database. Energies are from PBE.

a = 6.847 Å, b = 6.847 Å, c = 6.847 Å
α = 55.93°, β = 55.93°, γ = 55.93°
Fractional coordinates of all 8 atoms:
Zn (0.000, 0.000, 0.000)
Te (0.500, 0.500, 0.500)
Cl (0.093, 0.397, 0.754)
Cl (0.246, 0.907, 0.603)
Cl (0.397, 0.754, 0.093)
Cl (0.603, 0.246, 0.907)
Cl (0.754, 0.093, 0.397)
Cl (0.907, 0.603, 0.246)

Results
* crystal system: trigonal
* space-group type: R-3, No. 148
* formation energy from raw total energies: -0.68 eV per atom
* electronic total energy: -20.91 eV for the cell shown
* total moment: 0.0 μB/cell

Record 2
Here is a geometry-optimized AcSiGe structure from the Alexandria database. Energies are from PBE.

a = 8.008 Å, b = 8.008 Å, c = 4.449 Å
α = 106.08°, β = 106.08°, γ = 33.39°
Fractional coordinates of all 6 atoms:
Ac (0.123, 0.123, 0.373)
Ac (0.877, 0.877, 0.627)
Si (0.463, 0.463, 0.213)
Si (0.537, 0.537, 0.787)
Ge (0.295, 0.295, 0.046)
Ge (0.705, 0.705, 0.954)

Results
* crystal system: monoclinic
* space-group type: C2/m, No. 12
* formation energy from raw total energies: -0.60 eV per atom
* electronic total energy: -31.89 eV for the cell shown
* total moment: 0.0 μB/cell

| no. | excess energy over the best structure of this formula in the dataset (meV per atom) | Fermi-level density of states (states/eV/atom) |
| --- | --- | --- |
| 1 | 28 | 0.00 |
| 2 | 0 | 0.48 |